A plane-wave DFT calculation with GGA-PBE was carried out for Hf8Zr3Ti2 after structural relaxation.

Unit cell a=3.139 b=10.369 c=17.874 alpha=90.00 beta=90.00 gamma=79.07
Positions (direct):
Zr  0.971  0.176  0.299
Hf  0.895  0.723  0.951
Hf  0.682  0.565  0.339
Ti  0.387  0.830  0.098
Zr  0.000  0.500  0.500
Hf  0.318  0.435  0.661
Hf  0.318  0.387  0.215
Ti  0.613  0.670  0.598
Hf  0.318  0.935  0.839
Zr  0.000  0.000  0.000
Hf  0.682  0.113  0.715
Zr  0.029  0.824  0.701
Hf  0.105  0.777  0.451
Zr  0.029  0.324  0.799
Hf  0.682  0.613  0.785
Hf  0.505  0.541  0.076
Ti  0.387  0.330  0.402
Zr  0.971  0.676  0.201
Hf  0.682  0.065  0.161
Hf  0.495  0.959  0.576
Ti  0.613  0.170  0.902
Hf  0.105  0.277  0.049
Hf  0.495  0.459  0.924
Hf  0.505  0.041  0.424
Hf  0.895  0.223  0.549
Hf  0.318  0.887  0.285

Properties
**V**: 571.2 Å³/cell
**Size of the total moment**: 0.00 μB per formula unit
**DFT formation energy**: 0.170 eV per atom
**ρ**: 10.4 g/cm3